## AcLa2Ag (PBE)

Data for a relaxed AcLa2Ag crystal.

Output
ρ ... 7.3 g/cm3
Size of the total moment ... 0.00 μB per cell
Energy ... -4.315 eV per atom
Energy above the most stable polymorph in this dataset ... 5 meV/atom

Cell: 6.669 7.438 11.198 Å, 90.00 90.00 90.00°
Fractional coordinates of all 16 atoms:
Ac1 0.861 0.024 0.250
La1 0.157 0.686 0.042
Ag1 0.884 0.606 0.750
La2 0.157 0.686 0.458
Ac2 0.139 0.976 0.750
La3 0.657 0.814 0.542
La4 0.343 0.186 0.458
La5 0.343 0.186 0.042
Ag2 0.616 0.106 0.750
Ac3 0.361 0.476 0.750
La6 0.657 0.814 0.958
Ag3 0.384 0.894 0.250
La7 0.843 0.314 0.958
Ag4 0.116 0.394 0.250
La8 0.843 0.314 0.542
Ac4 0.639 0.524 0.250

## Hf2Zr5Bi4 (PBE)

Data for a relaxed Hf2Zr5Bi4 crystal.

Output
ρ ... 9.6 g/cm3
Size of the total moment ... 0.00 μB per cell
Energy ... -7.141 eV per atom

Cell: 3.239 7.693 13.923 Å, 123.61 96.68 90.00°
Fractional coordinates of all 11 atoms:
Zr1 0.858 0.769 0.717
Zr2 0.500 0.000 0.000
Zr3 0.811 0.105 0.621
Hf1 0.733 0.632 0.467
Hf2 0.267 0.368 0.533
Bi1 0.049 0.776 0.098
Bi2 0.951 0.224 0.902
Bi3 0.400 0.528 0.800
Bi4 0.600 0.472 0.200
Zr4 0.189 0.895 0.379
Zr5 0.142 0.231 0.283

## KMn2Tl (PBE)

Data for a relaxed KMn2Tl crystal.

Output
ρ ... 5.5 g/cm3
Size of the total moment ... 7.84 μB per cell
Energy ... -4.770 eV per atom
Energy above the most stable polymorph in this dataset ... 108 meV/atom

Cell: 4.972 4.972 7.336 Å, 83.44 83.44 36.27°
Site moments in Bohr magnetons follow the coordinates.
Fractional coordinates of all 4 atoms:
K1 0.751 0.751 0.758  -0.01
Mn1 0.979 0.979 0.098  3.74
Mn2 0.255 0.255 0.219  3.72
Tl1 0.515 0.515 0.424  -0.04

## PaTiBeO6 (PBE)

Data for a relaxed PaTiBeO6 crystal.

Output
ρ ... 6.4 g/cm3
Size of the total moment ... 0.00 μB per cell
Energy ... -8.393 eV per atom
ΔE_f (raw) ... -2741.6 meV per atom

Cell: 4.755 4.923 4.923 Å, 120.00 90.00 90.00°
Fractional coordinates of all 9 atoms:
O1 0.723 0.319 0.014
O2 0.723 0.695 0.681
O3 0.723 0.986 0.305
O4 0.277 0.695 0.014
Be1 0.500 0.000 0.000
Pa1 0.000 0.333 0.667
O5 0.277 0.319 0.305
Ti1 0.500 0.667 0.333
O6 0.277 0.986 0.681

## LaPm2Rh3 (PBE)

Data for a relaxed LaPm2Rh3 crystal.

Output
ρ ... 9.2 g/cm3
Size of the total moment ... 0.00 μB per cell
Energy ... -6.753 eV per atom

Cell: 5.015 5.015 6.131 Å, 90.00 90.00 120.00°
Fractional coordinates of all 6 atoms:
La1 0.000 0.000 0.000
Rh1 0.333 0.667 0.172
Pm1 0.333 0.667 0.665
Pm2 0.667 0.333 0.335
Rh2 0.667 0.333 0.828
Rh3 0.000 0.000 0.500

## ZrTaSb2 (PBE)

Data for a relaxed ZrTaSb2 crystal.

Output
ρ ... 10.1 g/cm3
Size of the total moment ... 0.00 μB per cell
Energy ... -7.350 eV per atom
Energy above the most stable polymorph in this dataset ... 100 meV/atom
ΔE_f (raw) ... -188.3 meV per atom

Cell: 3.447 3.447 7.143 Å, 90.00 90.00 90.01°
Fractional coordinates of all 4 atoms:
Sb1 0.000 0.000 0.015
Sb2 0.000 0.000 0.485
Ta1 0.500 0.500 0.250
Zr1 0.500 0.500 0.750

## EuPaBi2 (PBE)

Data for a relaxed EuPaBi2 crystal.

Output
ρ ... 9.7 g/cm3
Size of the total moment ... 7.93 μB per cell
Energy ... -7.372 eV per atom
Energy above the most stable polymorph in this dataset ... 0 meV/atom

Cell: 4.561 4.561 8.048 Å, 73.54 73.54 60.00°
Site moments in Bohr magnetons follow the coordinates.
Fractional coordinates of all 4 atoms:
Pa1 0.000 0.000 0.000  0.85
Eu1 0.500 0.500 0.500  6.83
Bi1 0.745 0.745 0.765  -0.06
Bi2 0.255 0.255 0.235  -0.06

## B3PtRh (PBE)

Data for a relaxed B3PtRh crystal.

Output
ρ ... 8.2 g/cm3
Size of the total moment ... 0.00 μB per cell
Energy ... -5.425 eV per atom
Energy above the most stable polymorph in this dataset ... 48 meV/atom

Cell: 4.053 4.053 4.053 Å, 90.00 90.00 90.00°
Fractional coordinates of all 5 atoms:
Rh1 0.500 0.500 0.500
Pt1 0.000 0.000 0.000
B1 0.500 0.000 0.000
B2 0.000 0.500 0.000
B3 0.000 0.000 0.500